Material: SrSb
Method: DFT, PBE-GGA
State: optimized geometry

a = 10.6581 Å, b = 10.6581 Å, c = 10.6581 Å
α = 22.98°, β = 22.98°, γ = 22.98°
Atoms (fractional coordinates):
1 Sr 0.2661 0.2661 0.2661
2 Sr 0.4839 0.4839 0.4839
3 Sb 0.7372 0.7372 0.7372
4 Sb 0.0128 0.0128 0.0128

**Energy relative to the elements, uncorrected**: -31.2 kJ/mol of formula units
**Electronic total energy**: -0.113 Ha/atom


Material: Sm2MgB2Rh5
Method: DFT, PBE-GGA
State: optimized geometry

a = 3.2168 Å, b = 9.7403 Å, c = 9.7403 Å
α = 90.00°, β = 90.00°, γ = 90.00°
Atoms (fractional coordinates):
1 Rh 0.5000 0.9301 0.2266
2 Rh 0.5000 0.7266 0.4301
3 Rh 0.5000 0.0000 0.5000
4 Rh 0.5000 0.5699 0.7266
5 Rh 0.5000 0.7734 0.9301
6 Rh 0.5000 0.4301 0.2734
7 Rh 0.5000 0.0699 0.7734
8 Rh 0.5000 0.2734 0.5699
9 Rh 0.5000 0.2266 0.0699
10 Rh 0.5000 0.5000 0.0000
11 Mg 0.0000 0.5000 0.5000
12 Mg 0.0000 0.0000 0.0000
13 B 0.0000 0.1221 0.6221
14 B 0.0000 0.3779 0.1221
15 B 0.0000 0.8779 0.3779
16 B 0.0000 0.6221 0.8779
17 Sm 0.0000 0.3235 0.8235
18 Sm 0.0000 0.6765 0.1765
19 Sm 0.0000 0.1765 0.3235
20 Sm 0.0000 0.8235 0.6765

**Electronic total energy**: -0.250 Ha/atom
**E_form**: -6.91 eV/f.u.


Material: HPt2Cl
Method: DFT, PBE-GGA
State: optimized geometry

a = 4.9957 Å, b = 4.9957 Å, c = 5.9067 Å
α = 64.98°, β = 64.98°, γ = 90.00°
Atoms (fractional coordinates):
1 Cl 0.0000 0.0000 0.0000
2 Cl 0.7500 0.2500 0.5000
3 H 0.2500 0.7500 0.5000
4 H 0.5000 0.5000 0.0000
5 Pt 0.8750 0.7656 0.7500
6 Pt 0.2344 0.6250 0.2500
7 Pt 0.3750 0.4844 0.7500
8 Pt 0.5156 0.1250 0.2500

**Electronic total energy**: -0.145 Ha/atom


Material: CaTmRh
Method: DFT, PBE-GGA
State: optimized geometry

a = 3.4132 Å, b = 3.4132 Å, c = 6.9734 Å
α = 104.17°, β = 104.17°, γ = 90.00°
Atoms (fractional coordinates):
1 Ca 0.0321 0.0321 0.0641
2 Tm 0.2894 0.2894 0.5787
3 Rh 0.6786 0.6786 0.3571

**Electronic total energy**: -0.189 Ha/atom
**E_form**: -1.56 eV/f.u.


Material: Na3La3PbO8
Method: DFT, PBE-GGA
State: optimized geometry

a = 7.2624 Å, b = 7.2621 Å, c = 6.9712 Å
α = 121.40°, β = 90.00°, γ = 120.00°
Atoms (fractional coordinates):
1 La 0.0000 0.5000 0.5000
2 La 0.5000 0.5000 0.5000
3 La 0.5000 0.0000 0.5000
4 Na 0.0000 0.0000 0.0000
5 Na 0.5000 0.5000 0.0000
6 Na 0.0000 0.5000 0.0000
7 O 0.7647 0.9882 0.7115
8 O 0.2235 0.4469 0.7115
9 O 0.7765 0.5531 0.2885
10 O 0.2353 0.0118 0.2885
11 O 0.2644 0.5288 0.2933
12 O 0.7356 0.4712 0.7067
13 O 0.7765 0.0118 0.2885
14 O 0.2235 0.9882 0.7115
15 Pb 0.0000 0.0000 0.5000

**Energy relative to the elements, uncorrected**: -3327.5 kJ/mol of formula units
**Electronic total energy**: -0.237 Ha/atom


Material: CsAc2Hg3
Method: DFT, PBE-GGA
State: optimized geometry

a = 4.1208 Å, b = 4.1208 Å, c = 13.1312 Å
α = 90.00°, β = 90.00°, γ = 90.00°
Atoms (fractional coordinates):
1 Hg 0.0000 0.0000 0.2886
2 Hg 0.0000 0.0000 0.0000
3 Hg 0.0000 0.0000 0.7114
4 Ac 0.5000 0.5000 0.8479
5 Ac 0.5000 0.5000 0.1521
6 Cs 0.5000 0.5000 0.5000

**Electronic total energy**: -0.075 Ha/atom
**E_form**: -2.23 eV/f.u.


Material: Cu2GePd5
Method: DFT, PBE-GGA
State: optimized geometry

a = 2.8282 Å, b = 7.0524 Å, c = 7.1589 Å
α = 119.51°, β = 101.39°, γ = 90.00°
Atoms (fractional coordinates):
1 Pd 0.0000 0.5000 0.0000
2 Pd 0.3775 0.0952 0.7551
3 Pd 0.6225 0.9048 0.2449
4 Pd 0.3775 0.6599 0.7551
5 Pd 0.6225 0.3401 0.2449
6 Cu 0.7899 0.2899 0.5798
7 Cu 0.2101 0.7101 0.4202
8 Ge 0.0000 0.0000 0.0000

**Electronic total energy**: -0.183 Ha/atom
**E_form**: -1.03 eV/f.u.


Material: LaPrInSn
Method: DFT, PBE-GGA
State: optimized geometry

a = 4.7694 Å, b = 4.4751 Å, c = 6.4573 Å
α = 90.00°, β = 111.67°, γ = 90.00°
Atoms (fractional coordinates):
1 In 0.4184 0.0000 0.8369
2 Pr 0.1380 0.0000 0.2761
3 La 0.8610 0.5000 0.7220
4 Sn 0.5825 0.5000 0.1651

**Electronic total energy**: -0.175 Ha/atom
**E_form**: -2.61 eV/f.u.


Material: YMnH2Ir
Method: DFT, PBE-GGA
State: optimized geometry

a = 3.8169 Å, b = 5.3561 Å, c = 3.8169 Å
α = 90.00°, β = 90.00°, γ = 90.00°
Atoms (fractional coordinates):
1 H 0.5000 0.0000 0.0000
2 H 0.0000 0.0000 0.5000
3 Ir 0.0000 0.0000 0.0000
4 Y 0.0000 0.5000 0.0000
5 Mn 0.5000 0.5000 0.5000

**Electronic total energy**: -0.206 Ha/atom


Material: Li4EuSn
Method: DFT, PBE-GGA
State: optimized geometry

a = 5.6413 Å, b = 5.6413 Å, c = 5.6413 Å
α = 60.00°, β = 60.00°, γ = 60.00°
Atoms (fractional coordinates):
1 Li 0.6259 0.6259 0.1222
2 Li 0.6259 0.6259 0.6259
3 Li 0.1222 0.6259 0.6259
4 Li 0.6259 0.1222 0.6259
5 Eu 0.2500 0.2500 0.2500
6 Sn 0.0000 0.0000 0.0000

**Electronic total energy**: -0.143 Ha/atom
**E_form**: -1.48 eV/f.u.


Material: Sc5Tl2Hg2
Method: DFT, PBE-GGA
State: optimized geometry

a = 6.8943 Å, b = 8.1426 Å, c = 8.6902 Å
α = 117.94°, β = 90.00°, γ = 90.00°
Atoms (fractional coordinates):
1 Sc 0.6591 0.0464 0.7229
2 Sc 0.1591 0.4536 0.2771
3 Sc 0.3409 0.9536 0.2771
4 Sc 0.0000 0.0000 0.0000
5 Sc 0.5000 0.5000 0.0000
6 Sc 0.3409 0.6764 0.7229
7 Sc 0.6591 0.3236 0.2771
8 Sc 0.8409 0.8236 0.2771
9 Sc 0.1591 0.1764 0.7229
10 Sc 0.8409 0.5464 0.7229
11 Tl 0.0000 0.2106 0.4212
12 Tl 0.0000 0.7894 0.5788
13 Tl 0.5000 0.2894 0.5788
14 Tl 0.5000 0.7106 0.4212
15 Hg 0.8757 0.3548 0.0000
16 Hg 0.6243 0.8548 0.0000
17 Hg 0.1243 0.6452 0.0000
18 Hg 0.3757 0.1452 0.0000

**Electronic total energy**: -0.161 Ha/atom
**E_form**: -2.46 eV/f.u.


Material: LaCSe
Method: DFT, PBE-GGA
State: optimized geometry

a = 4.2576 Å, b = 4.3966 Å, c = 8.6138 Å
α = 104.79°, β = 104.31°, γ = 90.00°
Atoms (fractional coordinates):
1 C 0.3528 0.5000 0.0000
2 C 0.6472 0.5000 0.0000
3 Se 0.6747 0.1747 0.3493
4 Se 0.3253 0.8253 0.6507
5 La 0.1318 0.6318 0.2637
6 La 0.8682 0.3682 0.7363

**Energy relative to the elements, uncorrected**: -275.2 kJ/mol of formula units
**Electronic total energy**: -0.251 Ha/atom